# ZnAg2MoIr

A geometry-optimized ZnAg2MoIr structure (GGA-PBE, Alexandria).

Cell: 5.1660 5.1660 4.6294 Å, 90.00 90.00 90.00°
Space group P4/mmm (No. 123)
Asymmetric unit:
Zn1 0.0000 0.0000 0.0000
Ag1 0.0000 0.5000 0.5000
Mo1 0.5000 0.5000 0.5000
Ir1 0.5000 0.5000 0.0000

**E_form**: 1532.0 meV/atom

# CrPPtCl2

A geometry-optimized CrPPtCl2 structure (GGA-PBE, Alexandria).

Cell: 5.0686 5.0686 4.5403 Å, 90.00 90.00 90.00°
Space group P4/mmm (No. 123)
Asymmetric unit:
Cr1 0.0000 0.0000 0.0000
P1 0.5000 0.5000 0.0000
Pt1 0.5000 0.5000 0.5000
Cl1 0.0000 0.5000 0.5000

**Uncorrected formation energy**: 0.44 eV/atom

In the order shown, the computed total magnetic moment values come out to 0.0 4.3 μB per formula unit.
In the order shown, the computed Fermi-level density of states values come out to 7.5 3.3 states/eV/cell.